Entry 1:
Compound: ZnRe3Pb
Source: the Alexandria database
Functional: PBE
Structure: relaxed

Results
The polymorph energy (0 for the lowest one) comes out at 0 meV per atom. The space group is No. 221.

Lattice parameters (Å, degrees): 4.5960 4.5960 4.5960 90.00 90.00 90.00
Site moments in Bohr magnetons follow the coordinates.
Sites, in units of the cell vectors:
1 Re 0.0000 0.5000 0.0000  0.82
2 Re 0.0000 0.0000 0.5000  1.13
3 Re 0.5000 0.0000 0.0000  0.72
4 Zn 0.0000 0.0000 0.0000  0.01
5 Pb 0.5000 0.5000 0.5000  -0.01



Entry 2:
Compound: CaYGaAg
Source: the Alexandria database
Functional: PBE
Structure: relaxed

Results
Its calculated total energy is -4.014 eV/atom. The space group is No. 99.

Lattice parameters (Å, degrees): 3.6504 3.6504 7.3293 90.00 90.00 90.00
Sites, in units of the cell vectors:
1 Ca 0.0000 0.0000 0.8533
2 Y 0.0000 0.0000 0.3619
3 Ag 0.5000 0.5000 0.1216
4 Ga 0.5000 0.5000 0.5912



Entry 3:
Compound: Tb3Fe2C3
Source: the Alexandria database
Functional: PBE
Structure: relaxed

Results
Its calculated total energy is -7.396 eV/atom. The space group is No. 63.

Lattice parameters (Å, degrees): 3.4175 5.6619 12.2881 90.00 90.00 107.57
Sites, in units of the cell vectors:
1 Fe 0.2228 0.4456 0.4314
2 Fe 0.2228 0.4456 0.0686
3 Fe 0.7772 0.5544 0.9314
4 Fe 0.7772 0.5544 0.5686
5 C 0.6443 0.2885 0.4580
6 C 0.3557 0.7115 0.9580
7 C 0.3469 0.6939 0.2500
8 C 0.6443 0.2885 0.0420
9 C 0.6531 0.3061 0.7500
10 C 0.3557 0.7115 0.5420
11 Tb 0.9409 0.8818 0.1135
12 Tb 0.6776 0.3552 0.2500
13 Tb 0.9409 0.8818 0.3865
14 Tb 0.0591 0.1182 0.6135
15 Tb 0.3224 0.6448 0.7500
16 Tb 0.0591 0.1182 0.8865



Entry 4:
Compound: Sm2MnWN5
Source: the Alexandria database
Functional: PBE
Structure: relaxed

Results
For the formation energy without anion corrections, the calculation gives -820 meV/atom. The space group is No. 36.

Lattice parameters (Å, degrees): 3.4113 7.0790 9.7962 90.00 90.00 103.94
Site moments in Bohr magnetons follow the coordinates.
Sites, in units of the cell vectors:
1 Mn 0.2140 0.4281 0.0200  1.85
2 Mn 0.7860 0.5719 0.5200  1.85
3 N 0.3507 0.7014 0.0047  0.08
4 N 0.3070 0.6141 0.3772  0.02
5 N 0.6930 0.3859 0.8772  0.02
6 N 0.7030 0.4060 0.1414  -0.01
7 N 0.6493 0.2986 0.5047  0.08
8 N 0.9487 0.8974 0.5510  0.00
9 N 0.2970 0.5940 0.6414  -0.01
10 N 0.5034 0.0068 0.7944  -0.01
11 N 0.4966 0.9932 0.2944  -0.01
12 N 0.0513 0.1026 0.0510  0.00
13 Sm 0.1355 0.2710 0.3031  -0.01
14 Sm 0.1266 0.2532 0.6726  0.02
15 Sm 0.8734 0.7468 0.1726  0.02
16 Sm 0.8645 0.7290 0.8031  -0.01
17 W 0.4330 0.8660 0.4597  -0.06
18 W 0.5670 0.1340 0.9597  -0.06



Entry 5:
Compound: SmGa2Br5
Source: the Alexandria database
Functional: PBE
Structure: relaxed

Results
For the formation energy without anion corrections, the calculation gives -1199 meV/atom. The space group is No. 9.

Lattice parameters (Å, degrees): 7.7897 11.0233 8.8726 64.91 63.96 69.31
Sites, in units of the cell vectors:
1 Br 0.1884 0.2458 0.0076
2 Br 0.6221 0.4354 0.0197
3 Br 0.9796 0.6311 0.1097
4 Br 0.0985 0.5333 0.5644
5 Br 0.2796 0.1311 0.6097
6 Br 0.3438 0.8216 0.1210
7 Br 0.7136 0.3216 0.6210
8 Br 0.5582 0.7458 0.5076
9 Br 0.9228 0.9354 0.5197
10 Br 0.8039 0.0333 0.0644
11 Sm 0.9508 0.2833 0.8147
12 Sm 0.9512 0.7833 0.3147
13 Ga 0.3575 0.5066 0.8330
14 Ga 0.5984 0.5613 0.2960
15 Ga 0.3029 0.0066 0.3330
16 Ga 0.5443 0.0613 0.7960



Entry 6:
Compound: Co2GeMo
Source: the Alexandria database
Functional: PBE
Structure: relaxed

Results
Its calculated total energy is -7.451 eV/atom. The space group is No. 123.

Lattice parameters (Å, degrees): 2.7657 2.7657 6.5563 90.00 90.00 90.00
Site moments in Bohr magnetons follow the coordinates.
Sites, in units of the cell vectors:
1 Co 0.0000 0.0000 0.7765  0.55
2 Co 0.0000 0.0000 0.2235  0.55
3 Mo 0.5000 0.5000 0.5000  0.12
4 Ge 0.5000 0.5000 0.0000  -0.01



Entry 7:
Compound: CrSbCl2
Source: the Alexandria database
Functional: PBE
Structure: relaxed

Results
For the formation energy without anion corrections, the calculation gives 204 meV/atom. The polymorph energy (0 for the lowest one) comes out at 607 meV per atom. The space group is No. 65.

Lattice parameters (Å, degrees): 5.3060 5.3060 3.2850 90.00 90.00 106.59
Site moments in Bohr magnetons follow the coordinates.
Sites, in units of the cell vectors:
1 Sb 0.0000 0.5000 0.5000  -0.11
2 Cr 0.5000 0.0000 0.5000  4.09
3 Cl 0.0000 0.0000 0.0000  0.00
4 Cl 0.5000 0.5000 0.0000  0.00



Entry 8:
Compound: Pm2BeCd
Source: the Alexandria database
Functional: PBE
Structure: relaxed

Results
The polymorph energy (0 for the lowest one) comes out at 82 meV per atom. The space group is No. 225.

Lattice parameters (Å, degrees): 5.2183 5.2183 5.2183 60.00 60.00 60.00
Sites, in units of the cell vectors:
1 Pm 0.7500 0.7500 0.7500
2 Pm 0.2500 0.2500 0.2500
3 Cd 0.5000 0.5000 0.5000
4 Be 0.0000 0.0000 0.0000



Entry 9:
Compound: Ca3Ac2PaBi6
Source: the Alexandria database
Functional: PBE
Structure: relaxed

Results
Its calculated total energy is -4.634 eV/atom. The space group is No. 12.

Lattice parameters (Å, degrees): 8.2600 8.2600 7.9411 100.14 100.14 120.24
Sites, in units of the cell vectors:
1 Bi 0.6056 0.9182 0.7513
2 Bi 0.2223 0.2223 0.7438
3 Bi 0.9182 0.6056 0.7513
4 Bi 0.3944 0.0818 0.2487
5 Bi 0.0818 0.3944 0.2487
6 Bi 0.7777 0.7777 0.2562
7 Ca 0.8224 0.1776 0.5000
8 Ca 0.5000 0.5000 0.5000
9 Ca 0.1776 0.8224 0.5000
10 Ac 0.6650 0.3350 0.0000
11 Ac 0.3350 0.6650 0.0000
12 Pa 0.0000 0.0000 0.0000



Entry 10:
Compound: Cu2I2Cl7
Source: the Alexandria database
Functional: PBE
Structure: relaxed

Results
For the formation energy without anion corrections, the calculation gives -305 meV/atom. The space group is No. 15.

Lattice parameters (Å, degrees): 7.5508 7.5508 14.1239 88.94 88.94 93.42
Site moments in Bohr magnetons follow the coordinates.
Sites, in units of the cell vectors:
1 Cl 0.1842 0.1483 0.9664  0.03
2 Cl 0.8158 0.8517 0.0336  0.03
3 Cl 0.6796 0.4030 0.9529  0.13
4 Cl 0.9220 0.0780 0.7500  0.00
5 Cl 0.5025 0.1529 0.1571  0.01
6 Cl 0.1483 0.1842 0.4664  0.03
7 Cl 0.1529 0.5025 0.6571  0.01
8 Cl 0.3204 0.5970 0.0471  0.13
9 Cl 0.4030 0.6796 0.4529  0.13
10 Cl 0.8471 0.4975 0.3429  0.01
11 Cl 0.0780 0.9220 0.2500  0.00
12 Cl 0.8517 0.8158 0.5336  0.03
13 Cl 0.4975 0.8471 0.8429  0.01
14 Cl 0.5970 0.3204 0.5471  0.13
15 Cu 0.6783 0.5837 0.4798  0.35
16 Cu 0.4163 0.3217 0.0202  0.35
17 Cu 0.5837 0.6783 0.9798  0.35
18 Cu 0.3217 0.4163 0.5202  0.35
19 I 0.6812 0.8364 0.6923  0.00
20 I 0.8364 0.6812 0.1923  0.00
21 I 0.3188 0.1636 0.3077  0.00
22 I 0.1636 0.3188 0.8077  0.00